DFT (PBE) results for crystalline AlTl2Ir at its relaxed geometry.

Cell and atoms, written as extended XYZ:
```
4
Lattice="4.918 0.000 0.000 0.000 4.918 0.000 0.000 0.000 3.405" Properties=species:S:1:pos:R:3 pbc="T T T"
Tl 0.000 0.000 0.000
Tl 2.459 2.459 0.000
Ir 0.000 2.459 1.703
Al 2.459 0.000 1.703
```

Results
Polymorph energy (0 for the lowest one) in meV per atom: 634